(1)
First-principles (GGA-PBE) data for a relaxed Li2TmGa6 crystal, as listed in the Alexandria database.

Geometry as POSCAR:
```
Li2TmGa6
1.0
-1.696 3.732 6.486
1.696 -3.732 6.486
1.696 3.732 -6.486
Li Tm Ga
2 1 6
direct
0.131 0.131 0.000
0.869 0.869 0.000
0.500 0.000 0.500
0.140 0.317 0.823
0.171 0.500 0.671
0.494 0.317 0.177
0.506 0.683 0.823
0.829 0.500 0.329
0.860 0.683 0.177
```

Calculated values
spin magnetization = 0.000 μB per atom
offset from the most stable computed form = 20 meV/atom
calculated volume = 164.2 Å³/cell

(2)
First-principles (GGA-PBE) data for a relaxed LiTm2Ga8 crystal, as listed in the Alexandria database.

Geometry as POSCAR:
```
LiTm2Ga8
1.0
4.277 0.000 0.000
0.000 4.277 0.000
0.000 0.000 11.165
Li Tm Ga
1 2 8
direct
0.000 0.000 0.000
0.000 0.000 0.312
0.000 0.000 0.688
0.000 0.500 0.126
0.000 0.500 0.500
0.000 0.500 0.874
0.500 0.000 0.126
0.500 0.000 0.500
0.500 0.000 0.874
0.500 0.500 0.306
0.500 0.500 0.694
```

Calculated values
spin magnetization = 0.000 μB per atom
DFT total energy = -39.5 eV/cell
calculated volume = 204.3 Å³/cell

(3)
First-principles (GGA-PBE) data for a relaxed Li2Y2TmGa2 crystal, as listed in the Alexandria database.

Geometry as POSCAR:
```
Li2Y2TmGa2
1.0
2.278 1.315 8.894
-2.278 1.315 8.894
0.000 -2.631 8.894
Li Y Tm Ga
2 2 1 2
direct
0.106 0.106 0.106
0.894 0.894 0.894
0.375 0.375 0.375
0.625 0.625 0.625
0.500 0.500 0.500
0.236 0.236 0.236
0.764 0.764 0.764
```

Calculated values
spin magnetization = 0.000 μB per atom
DFT total energy = -29.3 eV/cell
calculated volume = 159.9 Å³/cell

(4)
First-principles (GGA-PBE) data for a relaxed Li2YTm2Ga2 crystal, as listed in the Alexandria database.

Geometry as POSCAR:
```
Li2YTm2Ga2
1.0
2.286 1.320 8.707
-2.286 1.320 8.707
0.000 -2.639 8.707
Li Y Tm Ga
2 1 2 2
direct
0.100 0.100 0.100
0.900 0.900 0.900
0.500 0.500 0.500
0.373 0.373 0.373
0.627 0.627 0.627
0.240 0.240 0.240
0.760 0.760 0.760
```

Calculated values
spin magnetization = 0.000 μB per atom
DFT total energy = -27.3 eV/cell
calculated volume = 157.6 Å³/cell

(5)
First-principles (GGA-PBE) data for a relaxed LiTmZnGa2 crystal, as listed in the Alexandria database.

Geometry as POSCAR:
```
LiTmZnGa2
1.0
-2.044 2.044 5.453
2.044 -2.044 5.453
2.044 2.044 -5.453
Li Tm Zn Ga
1 1 1 2
direct
0.000 0.000 0.000
0.250 0.750 0.500
0.500 0.500 0.000
0.638 0.138 0.500
0.862 0.362 0.500
```

Calculated values
spin magnetization = 0.000 μB per atom
DFT total energy = -15.7 eV/cell
calculated volume = 91.1 Å³/cell

(6)
First-principles (GGA-PBE) data for a relaxed Li2TmZn2Ga2 crystal, as listed in the Alexandria database.

Geometry as POSCAR:
```
Li2TmZn2Ga2
1.0
3.790 -2.189 0.000
3.790 2.189 0.000
-2.538 0.000 7.605
Li Tm Zn Ga
2 1 2 2
direct
0.137 0.137 0.409
0.863 0.863 0.591
0.000 0.000 0.000
0.413 0.413 0.239
0.587 0.587 0.761
0.261 0.261 0.783
0.739 0.739 0.217
```

Calculated values
spin magnetization = 0.000 μB per atom
DFT total energy = -19.4 eV/cell
calculated volume = 126.2 Å³/cell

(7)
First-principles (GGA-PBE) data for a relaxed LiTmZrGa crystal, as listed in the Alexandria database.

Geometry as POSCAR:
```
LiTmZrGa
1.0
0.000 3.438 3.438
3.438 0.000 3.438
3.438 3.438 0.000
Li Tm Zr Ga
1 1 1 1
direct
0.000 0.000 0.000
0.750 0.750 0.750
0.250 0.250 0.250
0.500 0.500 0.500
```

Calculated values
spin magnetization = 0.000 μB per atom
DFT total energy = -18.9 eV/cell
calculated volume = 81.3 Å³/cell

(8)
First-principles (GGA-PBE) data for a relaxed Li2UGa9 crystal, as listed in the Alexandria database.

Geometry as POSCAR:
```
Li2UGa9
1.0
4.130 0.000 0.000
0.000 4.130 0.000
0.000 0.000 12.515
Li U Ga
2 1 9
direct
0.000 0.000 0.166
0.000 0.000 0.834
0.000 0.000 0.500
0.000 0.500 0.000
0.000 0.500 0.322
0.000 0.500 0.678
0.500 0.000 0.000
0.500 0.000 0.322
0.500 0.000 0.678
0.500 0.500 0.165
0.500 0.500 0.500
0.500 0.500 0.835
```

Calculated values
spin magnetization = 0.195 μB per atom
DFT total energy = -44.5 eV/cell
calculated volume = 213.5 Å³/cell